Here is a relaxed structure of LaTaCo2 from the Alexandria database. Energies are from PBE.

Cell lengths 5.9821, 5.9821, 5.9821 Å; angles 40.36, 40.36, 40.36 degrees
Site moments in Bohr magnetons follow the coordinates.
Positions (direct):
1 Co 0.9853 0.9853 0.9853  0.85
2 Co 0.3090 0.3090 0.3090  0.89
3 La 0.5072 0.5072 0.5072  -0.02
4 Ta 0.6985 0.6985 0.6985  -0.13

**Formation energy**: 0.134 eV per atom
**Crystal system**: trigonal
**SG**: R3m (160)
**Total magnetic moment**: 1.5 μB per formula unit
**Relative energy among the computed polymorphs**: 0.210 eV per atom